Computed, not measured: a geometry-optimized UPbSe2 structure at the PBE-GGA level of DFT.

The calculation puts the final energy at -24.9 eV/cell. Its formation energy (no corrections) is -279 kJ/mol of formula units.

a = 8.9192 Å, b = 8.9192 Å, c = 8.9192 Å
α = 25.09°, β = 25.09°, γ = 25.09°
Atoms (fractional coordinates):
U  0.0000  0.0000  0.0000
Pb  0.1613  0.1613  0.1613
Se  0.4024  0.4024  0.4024
Se  0.5984  0.5984  0.5984